No. 1
This record from Alexandria via LeMat-Bulk describes a geometry-optimized AcDy2In2 structure. The functional is PBE-GGA.

Results
* space group: I4/mmm, No. 139
* DFT formation energy: -1.063 eV per formula unit

Cell lengths 5.1961, 5.1961, 13.0428 Å; angles 101.49, 101.49, 90.00 degrees
Sites, in units of the cell vectors:
1 Ac 0.6253 0.6253 0.2507
2 Ac 0.3747 0.3747 0.7493
3 Dy 0.7500 0.2500 0.5000
4 Dy 0.9331 0.9331 0.8663
5 Dy 0.0669 0.0669 0.1337
6 Dy 0.2500 0.7500 0.5000
7 In 0.0000 0.5000 0.0000
8 In 0.1844 0.1844 0.3688
9 In 0.5000 0.0000 0.0000
10 In 0.8156 0.8156 0.6312

No. 2
This record from Alexandria via LeMat-Bulk describes a geometry-optimized Cu2Ni4Rh structure. The functional is PBE-GGA.

Results
* polymorph energy (0 for the lowest one): 0 meV/atom
* space group: R-3m, No. 166
* DFT formation energy: 1.191 eV per formula unit

Cell lengths 2.5505, 2.5505, 15.2598 Å; angles 85.21, 85.21, 60.00 degrees
Sites, in units of the cell vectors:
1 Cu 0.2338 0.2338 0.2985
2 Cu 0.7662 0.7662 0.7015
3 Ni 0.7137 0.7137 0.8590
4 Ni 0.2863 0.2863 0.1410
5 Ni 0.1449 0.1449 0.5654
6 Ni 0.8551 0.8551 0.4346
7 Rh 0.0000 0.0000 0.0000

No. 3
This record from Alexandria via LeMat-Bulk describes a geometry-optimized Sc5Al3 structure. The functional is PBE-GGA.

Results
* polymorph energy (0 for the lowest one): 0 meV/atom
* space group: P4/mmm, No. 123
* DFT formation energy: -2.754 eV per formula unit

Cell lengths 3.1632, 3.1632, 16.5903 Å; angles 90.00, 90.00, 90.00 degrees
Sites, in units of the cell vectors:
1 Al 0.0000 0.0000 0.5000
2 Al 0.5000 0.5000 0.1179
3 Al 0.5000 0.5000 0.8821
4 Sc 0.0000 0.0000 0.0000
5 Sc 0.0000 0.0000 0.2346
6 Sc 0.0000 0.0000 0.7654
7 Sc 0.5000 0.5000 0.3817
8 Sc 0.5000 0.5000 0.6183

No. 4
This record from Alexandria via LeMat-Bulk describes a geometry-optimized LaTeP2O structure. The functional is PBE-GGA.

Results
* polymorph energy (0 for the lowest one): 0 meV/atom
* space group: P4/mmm, No. 123
* ΔE_f (raw): -2.32 eV per formula unit

Cell lengths 5.1058, 5.1058, 4.1494 Å; angles 90.00, 90.00, 90.00 degrees
Sites, in units of the cell vectors:
1 P 0.0000 0.5000 0.0000
2 P 0.5000 0.0000 0.0000
3 Te 0.0000 0.0000 0.0000
4 O 0.0000 0.0000 0.5000
5 La 0.5000 0.5000 0.5000

| no. | total magnetization (μB per cell) | theoretical density (g cm⁻³) | electronic total energy (Ry/atom) |
| --- | --- | --- | --- |
| 1 | 0.31 | 7.68 | -0.2918 |
| 2 | 2.89 | 9.02 | -0.3935 |
| 3 | 0.00 | 3.06 | -0.4193 |
| 4 | 0.00 | 5.29 | -0.3847 |